Below is a relaxed structure of LuScNi2, with properties calculated at the GGA-PBE level.

Geometry as POSCAR:
```
LuScNi2
1.0
2.237 1.291 3.652
-2.237 1.291 3.652
0.000 -2.583 3.652
Lu Ni Sc
1 2 1
Direct
0.250 0.250 0.250 Lu
0.500 0.500 0.500 Ni
0.750 0.750 0.750 Ni
0.000 0.000 0.000 Sc
```

Output
- Energy of formation from the pure elements: -125 meV per atom
- Symmetry: F-43m, No. 216
- Calculated total energy: -5.62 eV/atom
- Spin magnetization: 0.01 μB per formula unit